## Tc2NiIr (PBE-GGA)

Data for a geometry-optimized Tc2NiIr structure.

Lattice parameters (Å, degrees): 4.6880 4.6880 2.6876 89.99 89.99 111.56
Last column: nearest neighbours and their distance in Å.
Positions (direct):
Ir 0.5000 0.0000 0.5000  2 Ni 2.64, 2 Ir 2.69, 8 Tc 2.70
Ni 0.0000 0.5000 0.5000  2 Ir 2.64, 2 Ni 2.69, 8 Tc 2.70
Tc 0.0000 0.0000 0.0000  4 Tc 2.64-2.69, 4 Ir 2.70, 4 Ni 2.70
Tc 0.5000 0.5000 0.0000  4 Tc 2.64-2.69, 4 Ni 2.70, 4 Ir 2.70

**Polymorph energy (0 for the lowest one)**: 121 meV/atom
**Magnetization**: 0.000 μB per atom
**Formation enthalpy at 0 K**: -0.031 eV per atom



## TcNi2Ir (PBE-GGA)

Data for a geometry-optimized TcNi2Ir structure.

Lattice parameters (Å, degrees): 4.4892 4.4892 4.6044 80.19 80.19 34.46
Last column: nearest neighbours and their distance in Å.
Positions (direct):
Ir 0.7500 0.7500 0.7500  6 Ni 2.61-2.64, 4 Tc 2.66, 2 Ir 2.66
Ni 0.0012 0.0012 0.0083  3 Tc 2.58-2.61, 6 Ni 2.59-2.73, 3 Ir 2.61-2.64
Ni 0.4988 0.4988 0.4917  3 Tc 2.58-2.61, 6 Ni 2.59-2.73, 3 Ir 2.61-2.64
Tc 0.2500 0.2500 0.2500  6 Ni 2.58-2.61, 4 Ir 2.66, 2 Tc 2.66

**Polymorph energy (0 for the lowest one)**: 102 meV/atom
**Magnetization**: 0.000 μB per atom
**Formation enthalpy at 0 K**: 0.025 eV per atom



## TcNi4Ir2 (PBE-GGA)

Data for a geometry-optimized TcNi4Ir2 structure.

Lattice parameters (Å, degrees): 5.7409 6.8707 5.7404 119.37 153.34 66.32
Last column: nearest neighbours and their distance in Å.
Positions (direct):
Tc 0.0000 0.0000 0.0000  6 Ni 2.58-2.60, 4 Ir 2.64, 2 Tc 2.65
Ni 0.1470 0.4200 0.2734  7 Ni 2.52-2.65, 1 Tc 2.58, 4 Ir 2.62-2.68
Ni 0.8530 0.5800 0.7266  7 Ni 2.52-2.65, 1 Tc 2.58, 4 Ir 2.62-2.68
Ni 0.2835 0.8548 0.5714  7 Ni 2.56-2.65, 3 Ir 2.56-2.64, 2 Tc 2.60
Ni 0.7165 0.1452 0.4286  7 Ni 2.56-2.65, 3 Ir 2.56-2.64, 2 Tc 2.60
Ir 0.4284 0.2881 0.8599  7 Ni 2.56-2.68, 3 Ir 2.59-2.65, 2 Tc 2.64
Ir 0.5716 0.7119 0.1401  7 Ni 2.56-2.68, 3 Ir 2.59-2.65, 2 Tc 2.64

**Magnetization**: 0.000 μB per atom
**Formation enthalpy at 0 K**: -0.005 eV per atom



## TcNi14Ir (PBE-GGA)

Data for a geometry-optimized TcNi14Ir structure.

Lattice parameters (Å, degrees): 5.0620 5.0620 8.2275 90.00 90.00 119.71
Last column: nearest neighbours and their distance in Å.
Positions (direct):
Tc 0.5422 0.4578 0.5000  10 Ni 2.53-2.55, 2 Ir 2.54
Ni 0.2074 0.7926 0.0000  12 Ni 2.50-2.54
Ni 0.7073 0.2927 0.0000  12 Ni 2.49-2.54
Ni 0.0423 0.4590 0.5000  2 Ir 2.52-2.54, 2 Tc 2.53, 8 Ni 2.54-2.55
Ni 0.2077 0.2929 0.0000  12 Ni 2.50-2.55
Ni 0.5410 0.9577 0.5000  2 Ir 2.52-2.54, 2 Tc 2.53, 8 Ni 2.54-2.55
Ni 0.7071 0.7923 0.0000  12 Ni 2.50-2.55
Ni 0.3774 0.1259 0.7543  10 Ni 2.49-2.56, 1 Tc 2.55, 1 Ir 2.56
Ni 0.3774 0.1259 0.2457  10 Ni 2.49-2.56, 1 Tc 2.55, 1 Ir 2.56
Ni 0.8741 0.6226 0.7543  10 Ni 2.49-2.56, 1 Tc 2.55, 1 Ir 2.56
Ni 0.8741 0.6226 0.2457  10 Ni 2.49-2.56, 1 Tc 2.55, 1 Ir 2.56
Ni 0.3751 0.6249 0.7526  11 Ni 2.50-2.54, 1 Tc 2.54
Ni 0.3751 0.6249 0.2474  11 Ni 2.50-2.54, 1 Tc 2.54
Ni 0.8745 0.1255 0.7542  11 Ni 2.50-2.55, 1 Ir 2.56
Ni 0.8745 0.1255 0.2458  11 Ni 2.50-2.55, 1 Ir 2.56
Ir 0.0429 0.9571 0.5000  10 Ni 2.52-2.56, 2 Tc 2.54

**Magnetization**: 0.495 μB per atom
**Formation enthalpy at 0 K**: 0.034 eV per atom



## TcNi2Ir (PBE-GGA)

Data for a geometry-optimized TcNi2Ir structure.

Lattice parameters (Å, degrees): 4.1988 4.1988 4.1988 60.00 60.00 60.00
Last column: nearest neighbours and their distance in Å.
Positions (direct):
Tc 0.2500 0.2500 0.2500  4 Ni 2.57, 4 Ir 2.57
Ni 0.0000 0.0000 0.0000  4 Ni 2.57, 4 Tc 2.57
Ni 0.7500 0.7500 0.7500  4 Ni 2.57, 4 Ir 2.57
Ir 0.5000 0.5000 0.5000  4 Ni 2.57, 4 Tc 2.57

**Polymorph energy (0 for the lowest one)**: 257 meV/atom
**Magnetization**: 0.283 μB per atom
**Formation enthalpy at 0 K**: 0.180 eV per atom



## TcNiIr6 (PBE-GGA)

Data for a geometry-optimized TcNiIr6 structure.

Lattice parameters (Å, degrees): 3.8364 3.8364 7.6916 90.00 90.00 90.00
Last column: nearest neighbours and their distance in Å.
Positions (direct):
Tc 0.0000 0.0000 0.5000  12 Ir 2.71
Ni 0.0000 0.0000 0.0000  12 Ir 2.71-2.72
Ir 0.5000 0.5000 0.0000  4 Ni 2.71, 8 Ir 2.72
Ir 0.5000 0.5000 0.5000  8 Ir 2.71, 4 Tc 2.71
Ir 0.5000 0.0000 0.2512  2 Tc 2.71, 8 Ir 2.71-2.72, 2 Ni 2.72
Ir 0.5000 0.0000 0.7488  2 Tc 2.71, 8 Ir 2.71-2.72, 2 Ni 2.72
Ir 0.0000 0.5000 0.2512  2 Tc 2.71, 8 Ir 2.71-2.72, 2 Ni 2.72
Ir 0.0000 0.5000 0.7488  2 Tc 2.71, 8 Ir 2.71-2.72, 2 Ni 2.72

**Magnetization**: 0.000 μB per atom
**Formation enthalpy at 0 K**: -0.079 eV per atom



## TcNi2Ir (PBE-GGA)

Data for a geometry-optimized TcNi2Ir structure.

Lattice parameters (Å, degrees): 4.5214 4.5214 2.6416 90.00 90.00 109.15
Last column: nearest neighbours and their distance in Å.
Positions (direct):
Ir 0.0000 0.5000 0.5000  8 Ni 2.62, 2 Tc 2.62, 2 Ir 2.64
Ni 0.0000 0.0000 0.0000  4 Ir 2.62, 4 Tc 2.62, 4 Ni 2.62-2.64
Ni 0.5000 0.5000 0.0000  4 Tc 2.62, 4 Ir 2.62, 4 Ni 2.62-2.64
Tc 0.5000 0.0000 0.5000  8 Ni 2.62, 2 Ir 2.62, 2 Tc 2.64

**Polymorph energy (0 for the lowest one)**: 126 meV/atom
**Magnetization**: 0.000 μB per atom
**Formation enthalpy at 0 K**: 0.050 eV per atom



## Tc2NiIr (PBE-GGA)

Data for a geometry-optimized Tc2NiIr structure.

Lattice parameters (Å, degrees): 5.2776 5.2776 5.2776 149.89 130.67 58.88
Last column: nearest neighbours and their distance in Å.
Positions (direct):
Ir 0.4762 0.4762 0.0000  2 Ni 2.48, 4 Tc 2.64, 2 Ir 2.74
Ni 0.2517 0.7517 0.5000  6 Tc 2.44-2.60, 2 Ir 2.48
Tc 0.0316 0.0316 0.0000  2 Ni 2.44, 4 Ir 2.64
Tc 0.7404 0.2404 0.5000  4 Ni 2.60, 2 Tc 2.74, 2 Ir 2.79

**Polymorph energy (0 for the lowest one)**: 296 meV/atom
**Magnetization**: 0.000 μB per atom
**Formation enthalpy at 0 K**: 0.145 eV per atom



## Tc3NiIr (PBE-GGA)

Data for a geometry-optimized Tc3NiIr structure.

Lattice parameters (Å, degrees): 4.3377 4.3377 4.3377 90.00 90.00 90.00
Last column: nearest neighbours and their distance in Å.
Positions (direct):
Ni 0.0000 0.0000 0.0000  6 Tc 2.17
Ir 0.5000 0.5000 0.5000  12 Tc 3.07
Tc 0.0000 0.5000 0.0000  2 Ni 2.17
Tc 0.0000 0.0000 0.5000  2 Ni 2.17
Tc 0.5000 0.0000 0.0000  2 Ni 2.17

**Polymorph energy (0 for the lowest one)**: 0 meV/atom
**Magnetization**: 0.000 μB per atom
**Formation enthalpy at 0 K**: 1.475 eV per atom



## TcNi2Ir (PBE-GGA)

Data for a geometry-optimized TcNi2Ir structure.

Lattice parameters (Å, degrees): 4.3182 4.3182 2.7306 90.00 90.00 90.00
Last column: nearest neighbours and their distance in Å.
Positions (direct):
Ir 0.0000 0.5000 0.5000  8 Ni 2.55, 2 Ir 2.73
Ni 0.0000 0.0000 0.0000  4 Tc 2.55, 4 Ir 2.55, 2 Ni 2.73
Ni 0.5000 0.5000 0.0000  4 Ir 2.55, 4 Tc 2.55, 2 Ni 2.73
Tc 0.5000 0.0000 0.5000  8 Ni 2.55, 2 Tc 2.73

**Polymorph energy (0 for the lowest one)**: 226 meV/atom
**Magnetization**: 0.024 μB per atom
**Formation enthalpy at 0 K**: 0.149 eV per atom



## Tc2NiIr (PBE-GGA)

Data for a geometry-optimized Tc2NiIr structure.

Lattice parameters (Å, degrees): 2.6818 2.6818 7.5954 90.00 90.00 90.00
Last column: nearest neighbours and their distance in Å.
Positions (direct):
Ir 0.5000 0.5000 0.2500  4 Ir 2.68, 8 Tc 2.74
Ni 0.5000 0.5000 0.7500  8 Tc 2.62, 4 Ni 2.68
Tc 0.0000 0.0000 0.9888  4 Ni 2.62, 4 Tc 2.68, 4 Ir 2.74
Tc 0.0000 0.0000 0.5112  4 Ni 2.62, 4 Tc 2.68, 4 Ir 2.74

**Polymorph energy (0 for the lowest one)**: 128 meV/atom
**Magnetization**: 0.003 μB per atom
**Formation enthalpy at 0 K**: -0.024 eV per atom



## Tc4NiIr (PBE-GGA)

Data for a geometry-optimized Tc4NiIr structure.

Lattice parameters (Å, degrees): 5.0317 5.0317 5.0317 60.00 60.00 60.00
Last column: nearest neighbours and their distance in Å.
Positions (direct):
Tc 0.8780 0.3740 0.3740  6 Tc 2.50-2.54
Tc 0.3740 0.3740 0.8780  6 Tc 2.50-2.54
Tc 0.3740 0.8780 0.3740  6 Tc 2.50-2.54
Tc 0.3740 0.3740 0.3740  6 Tc 2.50-2.54
Ni 0.0000 0.0000 0.0000  12 Tc 2.95, 4 Ir 3.08
Ir 0.7500 0.7500 0.7500  12 Tc 2.95, 4 Ni 3.08

**Magnetization**: 0.000 μB per atom
**Formation enthalpy at 0 K**: 0.431 eV per atom



## Tc2NiIr (PBE-GGA)

Data for a geometry-optimized Tc2NiIr structure.

Lattice parameters (Å, degrees): 8.7981 8.7981 8.7981 17.75 17.75 17.75
Last column: nearest neighbours and their distance in Å.
Positions (direct):
Ir 0.2500 0.2500 0.2500  6 Ir 2.72, 6 Tc 2.72
Ni 0.7500 0.7500 0.7500  6 Tc 2.63, 6 Ni 2.72
Tc 0.0020 0.0020 0.0020  3 Ni 2.63, 6 Tc 2.72, 3 Ir 2.72
Tc 0.4980 0.4980 0.4980  3 Ni 2.63, 6 Tc 2.72, 3 Ir 2.72

**Polymorph energy (0 for the lowest one)**: 204 meV/atom
**Magnetization**: 0.000 μB per atom
**Formation enthalpy at 0 K**: 0.053 eV per atom



## TcNi3Ir12 (PBE-GGA)

Data for a geometry-optimized TcNi3Ir12 structure.

Lattice parameters (Å, degrees): 3.8247 3.8247 15.3229 90.00 90.00 90.00
Last column: nearest neighbours and their distance in Å.
Positions (direct):
Tc 0.0000 0.0000 0.0000  12 Ir 2.70-2.71
Ni 0.0000 0.0000 0.2549  12 Ir 2.66-2.76
Ni 0.0000 0.0000 0.5000  12 Ir 2.70
Ni 0.0000 0.0000 0.7451  12 Ir 2.66-2.76
Ir 0.5000 0.5000 0.0000  4 Tc 2.70, 8 Ir 2.71
Ir 0.5000 0.5000 0.2508  4 Ni 2.71, 8 Ir 2.71
Ir 0.5000 0.5000 0.5000  8 Ir 2.70, 4 Ni 2.70
Ir 0.5000 0.5000 0.7492  4 Ni 2.71, 8 Ir 2.71
Ir 0.5000 0.0000 0.1254  8 Ir 2.70-2.71, 2 Tc 2.71, 2 Ni 2.76
Ir 0.5000 0.0000 0.3760  4 Ni 2.66-2.70, 8 Ir 2.70-2.71
Ir 0.5000 0.0000 0.6240  4 Ni 2.66-2.70, 8 Ir 2.70-2.71
Ir 0.5000 0.0000 0.8746  8 Ir 2.70-2.71, 2 Tc 2.71, 2 Ni 2.76
Ir 0.0000 0.5000 0.1254  8 Ir 2.70-2.71, 2 Tc 2.71, 2 Ni 2.76
Ir 0.0000 0.5000 0.3760  4 Ni 2.66-2.70, 8 Ir 2.70-2.71
Ir 0.0000 0.5000 0.6240  4 Ni 2.66-2.70, 8 Ir 2.70-2.71
Ir 0.0000 0.5000 0.8746  8 Ir 2.70-2.71, 2 Tc 2.71, 2 Ni 2.76

**Magnetization**: 0.233 μB per atom
**Formation enthalpy at 0 K**: 0.009 eV per atom



## TcNi3Ir (PBE-GGA)

Data for a geometry-optimized TcNi3Ir structure.

Lattice parameters (Å, degrees): 4.4596 5.2944 5.7738 103.52 75.39 106.87
Last column: nearest neighbours and their distance in Å.
Positions (direct):
Tc 0.4011 0.6505 0.6970  8 Ni 2.55-2.64, 1 Tc 2.57, 3 Ir 2.62-2.65
Tc 0.5989 0.3495 0.3030  8 Ni 2.55-2.64, 1 Tc 2.57, 3 Ir 2.62-2.65
Ni 0.1968 0.9508 0.1024  3 Ir 2.55-2.59, 7 Ni 2.57-2.65, 2 Tc 2.59-2.62
Ni 0.8032 0.0492 0.8976  3 Ir 2.55-2.59, 7 Ni 2.57-2.65, 2 Tc 2.59-2.62
Ni 0.1983 0.4502 0.1025  7 Ni 2.57-2.65, 2 Ir 2.58, 3 Tc 2.58-2.64
Ni 0.8017 0.5498 0.8975  7 Ni 2.57-2.65, 2 Ir 2.58, 3 Tc 2.58-2.64
Ni 0.0010 0.7444 0.5014  3 Tc 2.55-2.58, 6 Ni 2.57-2.71, 3 Ir 2.60-2.62
Ni 0.9990 0.2556 0.4986  3 Tc 2.55-2.58, 6 Ni 2.57-2.71, 3 Ir 2.60-2.62
Ir 0.6026 0.8496 0.2947  8 Ni 2.55-2.62, 3 Tc 2.62-2.65, 1 Ir 2.64
Ir 0.3974 0.1504 0.7053  8 Ni 2.55-2.62, 3 Tc 2.62-2.65, 1 Ir 2.64

**Polymorph energy (0 for the lowest one)**: 0 meV/atom
**Magnetization**: 0.000 μB per atom
**Formation enthalpy at 0 K**: -0.003 eV per atom



## Tc2NiIr (PBE-GGA)

Data for a geometry-optimized Tc2NiIr structure.

Lattice parameters (Å, degrees): 4.2879 2.7011 4.7150 90.00 90.00 90.00
Last column: nearest neighbours and their distance in Å.
Positions (direct):
Ni 0.5000 0.6250 0.7900  2 Ir 2.62, 8 Tc 2.65-2.74, 2 Ni 2.70
Ir 0.0000 0.6250 0.4707  2 Ni 2.62, 8 Tc 2.65-2.78, 2 Ir 2.70
Tc 0.0000 0.1250 0.9550  4 Tc 2.65-2.70, 4 Ni 2.65, 4 Ir 2.65-2.78
Tc 0.5000 0.1250 0.2844  4 Tc 2.65-2.70, 4 Ir 2.68, 4 Ni 2.69-2.74

**Polymorph energy (0 for the lowest one)**: 0 meV/atom
**Magnetization**: 0.000 μB per atom
**Formation enthalpy at 0 K**: -0.152 eV per atom



## Tc2NiIr (PBE-GGA)

Data for a geometry-optimized Tc2NiIr structure.

Lattice parameters (Å, degrees): 4.7011 4.7011 4.5840 80.68 80.68 33.42
Last column: nearest neighbours and their distance in Å.
Positions (direct):
Ir 0.7500 0.7500 0.7500  4 Ni 2.66, 6 Tc 2.70-2.71, 2 Ir 2.70
Ni 0.2500 0.2500 0.2500  4 Ir 2.66, 6 Tc 2.67-2.72, 2 Ni 2.70
Tc 0.0017 0.0017 0.0022  6 Tc 2.64-2.70, 3 Ni 2.67-2.72, 3 Ir 2.70-2.71
Tc 0.4983 0.4983 0.4978  6 Tc 2.64-2.70, 3 Ni 2.67-2.72, 3 Ir 2.70-2.71

**Polymorph energy (0 for the lowest one)**: 153 meV/atom
**Magnetization**: 0.000 μB per atom
**Formation enthalpy at 0 K**: 0.002 eV per atom



## TcNi2Ir4 (PBE-GGA)

Data for a geometry-optimized TcNi2Ir4 structure.

Lattice parameters (Å, degrees): 2.6878 3.8570 9.7973 90.00 97.88 90.00
Last column: nearest neighbours and their distance in Å.
Positions (direct):
Tc 0.5000 0.0000 0.0000  2 Tc 2.69, 10 Ir 2.71-2.74
Ni 0.8006 0.5000 0.6012  2 Ni 2.38, 5 Ir 2.53-2.61
Ni 0.1994 0.5000 0.3988  2 Ni 2.38, 5 Ir 2.53-2.61
Ir 0.9310 0.5000 0.8620  1 Ni 2.53, 7 Ir 2.68-2.74, 4 Tc 2.71
Ir 0.6411 0.0000 0.2821  4 Ni 2.61, 6 Ir 2.69-2.74, 1 Tc 2.74
Ir 0.0690 0.5000 0.1380  1 Ni 2.53, 7 Ir 2.68-2.74, 4 Tc 2.71
Ir 0.3589 0.0000 0.7179  4 Ni 2.61, 6 Ir 2.69-2.74, 1 Tc 2.74

**Magnetization**: 0.004 μB per atom
**Formation enthalpy at 0 K**: 0.131 eV per atom



## TiTcNi2Ir (PBE-GGA)

Data for a geometry-optimized TiTcNi2Ir structure.

Lattice parameters (Å, degrees): 4.2360 4.3824 4.2360 90.00 90.00 90.00
Last column: nearest neighbours and their distance in Å.
Positions (direct):
Ni 0.0000 0.0000 0.5000  2 Ti 2.12
Ni 0.5000 0.0000 0.0000  2 Ti 2.12
Ir 0.5000 0.5000 0.5000  4 Tc 3.00, 8 Ni 3.05
Tc 0.0000 0.5000 0.0000  2 Ti 2.19
Ti 0.0000 0.0000 0.0000  4 Ni 2.12, 2 Tc 2.19

**Polymorph energy (0 for the lowest one)**: 108 meV/atom
**Magnetization**: 0.000 μB per atom
**Formation enthalpy at 0 K**: 1.247 eV per atom



## TiTcNi2Ir (PBE-GGA)

Data for a geometry-optimized TiTcNi2Ir structure.

Lattice parameters (Å, degrees): 4.2615 4.5571 4.2615 90.00 90.00 90.00
Last column: nearest neighbours and their distance in Å.
Positions (direct):
Ni 0.0000 0.0000 0.5000  2 Ti 2.13
Ni 0.5000 0.0000 0.0000  2 Ti 2.13
Ir 0.0000 0.5000 0.0000  2 Ti 2.28
Tc 0.5000 0.5000 0.5000  4 Ir 3.01, 8 Ni 3.12
Ti 0.0000 0.0000 0.0000  4 Ni 2.13, 2 Ir 2.28

**Polymorph energy (0 for the lowest one)**: 0 meV/atom
**Magnetization**: 0.625 μB per atom
**Formation enthalpy at 0 K**: 1.139 eV per atom